(1)
{
  "formula": "Zn2PPb",
  "functional": "PBE",
  "state": "optimized geometry",
  "cell": [[3.373, 0.000, 0.000], [0.000, 3.373, 0.000], [0.000, 0.000, 6.967]],
  "species": ["Zn", "Zn", "P", "Pb"],
  "fractional_positions": [[0.000, 0.000, 0.815], [0.000, 0.000, 0.185], [0.500, 0.500, 0.000], [0.500, 0.500, 0.500]],
  "formation_enthalpy_0k_ev_per_atom": 0.24,
  "dos_at_fermi_per_ev_atom": 0.6657,
  "spacegroup": "No. 123",
  "magnetic_moment_mub_per_fu": 0.00
}

(2)
{
  "formula": "Zn2PPb",
  "functional": "PBE",
  "state": "optimized geometry",
  "cell": [[-0.924, 1.716, 6.302], [-4.458, 3.765, 3.077], [1.243, -4.864, -4.279]],
  "species": ["Zn", "Zn", "P", "Pb"],
  "fractional_positions": [[0.993, 0.993, 0.000], [0.331, 0.831, 0.500], [0.481, 0.481, 0.000], [0.695, 0.195, 0.500]],
  "formation_enthalpy_0k_ev_per_atom": 0.14,
  "dos_at_fermi_per_ev_atom": 0.2844,
  "spacegroup": "No. 44",
  "magnetic_moment_mub_per_fu": 0.00
}

(3)
{
  "formula": "ZnP2Pb",
  "functional": "PBE",
  "state": "optimized geometry",
  "cell": [[-2.366, 2.523, 0.664], [-0.555, -2.860, -1.979], [-2.765, -4.514, 7.299]],
  "species": ["P", "P", "Pb", "Zn"],
  "fractional_positions": [[0.000, 0.000, 0.024], [0.500, 0.500, 0.184], [0.000, 0.000, 0.502], [0.500, 0.500, 0.791]],
  "formation_enthalpy_0k_ev_per_atom": 0.37,
  "dos_at_fermi_per_ev_atom": 0.5750,
  "spacegroup": "No. 35",
  "magnetic_moment_mub_per_fu": 0.00
}

(4)
{
  "formula": "Zn2PPb",
  "functional": "PBE",
  "state": "optimized geometry",
  "cell": [[-3.382, -0.130, -0.777], [-0.709, -0.992, 3.251], [-0.730, 7.055, 1.994]],
  "species": ["Zn", "Zn", "P", "Pb"],
  "fractional_positions": [[0.000, 0.000, 0.018], [0.500, 0.500, 0.373], [0.000, 0.000, 0.337], [0.500, 0.500, 0.772]],
  "formation_enthalpy_0k_ev_per_atom": 0.15,
  "dos_at_fermi_per_ev_atom": 0.6715,
  "spacegroup": "No. 99",
  "magnetic_moment_mub_per_fu": 0.00
}

(5)
{
  "formula": "Zn2PPb",
  "functional": "PBE",
  "state": "optimized geometry",
  "cell": [[0.000, 3.459, 3.459], [3.459, 0.000, 3.459], [3.459, 3.459, 0.000]],
  "species": ["Zn", "Zn", "P", "Pb"],
  "fractional_positions": [[0.000, 0.000, 0.000], [0.750, 0.750, 0.750], [0.500, 0.500, 0.500], [0.250, 0.250, 0.250]],
  "formation_enthalpy_0k_ev_per_atom": 0.36,
  "dos_at_fermi_per_ev_atom": 0.5522,
  "spacegroup": "No. 216",
  "magnetic_moment_mub_per_fu": 0.00
}

(6)
{
  "formula": "Zn2PPb",
  "functional": "PBE",
  "state": "optimized geometry",
  "cell": [[6.265, -1.993, -0.042], [6.265, 1.993, -0.042], [5.653, 0.000, 3.357]],
  "species": ["Zn", "Zn", "P", "Pb"],
  "fractional_positions": [[0.021, 0.021, 0.021], [0.761, 0.761, 0.761], [0.470, 0.470, 0.470], [0.248, 0.248, 0.248]],
  "formation_enthalpy_0k_ev_per_atom": 0.12,
  "dos_at_fermi_per_ev_atom": 0.4425,
  "spacegroup": "No. 160",
  "magnetic_moment_mub_per_fu": 0.00
}

Please write out number 1 again, unchanged.
{
  "formula": "Zn2PPb",
  "functional": "PBE",
  "state": "optimized geometry",
  "cell": [[3.373, 0.000, 0.000], [0.000, 3.373, 0.000], [0.000, 0.000, 6.967]],
  "species": ["Zn", "Zn", "P", "Pb"],
  "fractional_positions": [[0.000, 0.000, 0.815], [0.000, 0.000, 0.185], [0.500, 0.500, 0.000], [0.500, 0.500, 0.500]],
  "formation_enthalpy_0k_ev_per_atom": 0.24,
  "dos_at_fermi_per_ev_atom": 0.6657,
  "spacegroup": "No. 123",
  "magnetic_moment_mub_per_fu": 0.00
}

Question: What is the formula in the second record?
Answer: Zn2PPb